No. 1
Here is a relaxed structure of ReAgIr2 from Alexandria via LeMat-Bulk. Energies are from PBE-GGA.

Summary:
Its polymorph energy (0 for the lowest one) is 0.401 eV per atom. The total energy comes out at -7.822 eV per atom. The calculation puts the formation energy at 0.434 eV/atom.

Cell lengths 2.763, 4.695, 9.662 Å; angles 90.00, 90.00, 90.00 degrees
Space group Cmm2 (No. 35)
Asymmetric unit:
Re (0.000, 0.000, 0.000)
Ag (0.000, 0.500, 0.736)
Ir (0.000, 0.000, 0.478)
Ir (0.000, 0.500, 0.234)

=====

No. 2
Here is a relaxed structure of Tb3Pr2Er6 from Alexandria via LeMat-Bulk. Energies are from PBE-GGA.

Summary:
Its polymorph energy (0 for the lowest one) is 0.084 eV per atom. The total energy comes out at -4.354 eV per atom. The calculation puts the formation energy at 0.267 eV/atom.

Cell lengths 4.729, 4.729, 33.196 Å; angles 90.00, 90.00, 90.00 degrees
Space group I4/mmm (No. 139)
Asymmetric unit:
Tb (0.000, 0.000, 0.000)
Tb (0.000, 0.000, 0.202)
Pr (0.000, 0.000, 0.453)
Er (0.000, 0.000, 0.305)
Er (0.000, 0.500, 0.123)

=====

No. 3
Here is a relaxed structure of Sm2MgZn4Au3 from Alexandria via LeMat-Bulk. Energies are from PBE-GGA.

Summary:
The total energy comes out at -3.099 eV per atom. The calculation puts the formation energy at -0.503 eV/atom.

Cell lengths 4.109, 4.109, 12.082 Å; angles 90.00, 90.00, 90.00 degrees
Space group P-4m2 (No. 115)
Asymmetric unit:
Sm (0.000, 0.500, 0.245)
Mg (0.000, 0.000, 0.500)
Zn (0.000, 0.000, 0.000)
Zn (0.000, 0.500, 0.645)
Zn (0.500, 0.500, 0.000)
Au (0.000, 0.500, 0.858)
Au (0.500, 0.500, 0.500)

=====

Q: What is the formula in the second record?
A: Tb3Pr2Er6

=====

Please write out number 2 again, unchanged.
Here is a relaxed structure of Tb3Pr2Er6 from Alexandria via LeMat-Bulk. Energies are from PBE-GGA.

Summary:
Its polymorph energy (0 for the lowest one) is 0.084 eV per atom. The total energy comes out at -4.354 eV per atom. The calculation puts the formation energy at 0.267 eV/atom.

Cell lengths 4.729, 4.729, 33.196 Å; angles 90.00, 90.00, 90.00 degrees
Space group I4/mmm (No. 139)
Asymmetric unit:
Tb (0.000, 0.000, 0.000)
Tb (0.000, 0.000, 0.202)
Pr (0.000, 0.000, 0.453)
Er (0.000, 0.000, 0.305)
Er (0.000, 0.500, 0.123)

=====

Repeat the first record exactly.
Here is a relaxed structure of ReAgIr2 from Alexandria via LeMat-Bulk. Energies are from PBE-GGA.

Summary:
Its polymorph energy (0 for the lowest one) is 0.401 eV per atom. The total energy comes out at -7.822 eV per atom. The calculation puts the formation energy at 0.434 eV/atom.

Cell lengths 2.763, 4.695, 9.662 Å; angles 90.00, 90.00, 90.00 degrees
Space group Cmm2 (No. 35)
Asymmetric unit:
Re (0.000, 0.000, 0.000)
Ag (0.000, 0.500, 0.736)
Ir (0.000, 0.000, 0.478)
Ir (0.000, 0.500, 0.234)